A relaxed structure of PmNpPd4. Source: the Alexandria database, functional GGA-PBE. Values from VASP.

Geometry as Quantum ESPRESSO input:
```
&SYSTEM
  ibrav = 0, nat = 6, ntyp = 3
/
ATOMIC_SPECIES
Np 237.00 Np.upf
Pm 145.00 Pm.upf
Pd 106.42 Pd.upf
ATOMIC_POSITIONS crystal
Np 0.250 0.250 0.250
Pm 0.000 0.000 0.000
Pd 0.625 0.625 0.126
Pd 0.625 0.625 0.625
Pd 0.625 0.126 0.625
Pd 0.126 0.625 0.625
CELL_PARAMETERS angstrom
5.478 0.000 0.000
2.739 4.744 0.000
2.739 1.581 4.473
```

Computed properties:
- SG: F-43m (216)
- DFT total energy: -6.91 eV per atom